[1]
This record from Alexandria via LeMat-Bulk describes crystalline Zn4HgPd15 at its relaxed geometry. The functional is PBE.

Summary:
- Volume: 15.416 Å³/atom
- Magnetic moment: 0.000 μB per atom
- Uncorrected energy: -4.421 eV/atom

Cell: 3.9834 3.9834 19.4312 Å, 90.00 90.00 90.00°
With the nearest neighbours (Å) after each atom.
Space group P4/mmm (No. 123)
Inequivalent atoms, fractional coordinates:
Zn 0.0000 0.0000 0.0981 [2 per cell]  12 Pd 2.76-2.82
Zn 0.0000 0.0000 0.2946 [2 per cell]  12 Pd 2.75-2.82
Hg 0.0000 0.0000 0.5000 [1 per cell]  12 Pd 2.82-2.89
Pd 0.0000 0.5000 0.0000 [2 per cell]  4 Zn 2.76, 8 Pd 2.76-2.82
Pd 0.0000 0.5000 0.1963 [4 per cell]  8 Pd 2.75-2.82, 4 Zn 2.76
Pd 0.0000 0.5000 0.3922 [4 per cell]  2 Zn 2.75, 8 Pd 2.76-2.89, 2 Hg 2.89
Pd 0.5000 0.5000 0.0981 [2 per cell]  8 Pd 2.76, 4 Zn 2.82
Pd 0.5000 0.5000 0.2942 [2 per cell]  8 Pd 2.75-2.76, 4 Zn 2.82
Pd 0.5000 0.5000 0.5000 [1 per cell]  4 Hg 2.82, 8 Pd 2.89

[2]
This record from Alexandria via LeMat-Bulk describes crystalline ZnHg6Pd12 at its relaxed geometry. The functional is PBE.

Summary:
- Volume: 19.049 Å³/atom
- Magnetic moment: 0.000 μB per atom
- Uncorrected energy: -3.454 eV/atom

Cell: 9.6124 9.6124 13.5690 Å, 90.00 90.00 120.00°
With the nearest neighbours (Å) after each atom.
Space group R-3 (No. 148, hexagonal axes)
Inequivalent atoms, fractional coordinates:
Zn 0.0000 0.0000 0.0000 [3 per cell]  6 Pd 2.54
Hg 0.0722 0.5038 0.3193 [18 per cell]  6 Pd 2.71-2.88
Pd 0.0292 0.4671 0.1164 [18 per cell]  5 Pd 2.67-2.95, 4 Hg 2.71-2.84
Pd 0.0529 0.8681 0.8533 [18 per cell]  1 Zn 2.54, 4 Pd 2.64-2.75

The lowest uncorrected energy belongs to which entry?
Zn4HgPd15